! LiDyZn10 (PBE, optimized geometry); values from VASP
! E_form	-171	meV/atom
! total magnetic moment	0.00	μB per atom
! symmetry	Pmmm (47)
! uncorrected energy	-21.306	eV/cell
&SYSTEM
  ibrav = 0, nat = 12, ntyp = 3
/
ATOMIC_SPECIES
Li 6.94 Li.upf
Dy 162.50 Dy.upf
Zn 65.41 Zn.upf
CELL_PARAMETERS angstrom
4.3080 0.0000 0.0000
0.0000 5.1367 0.0000
0.0000 0.0000 9.1150
ATOMIC_POSITIONS angstrom
Li 0.0000 0.0000 0.0000
Dy 0.0000 2.5684 4.5575
Zn 0.0000 0.0000 2.8452
Zn 0.0000 0.0000 6.2698
Zn 0.0000 2.5684 1.4096
Zn 0.0000 2.5684 7.7054
Zn 2.1540 0.0000 4.5575
Zn 2.1540 1.3180 2.3570
Zn 2.1540 1.3180 6.7580
Zn 2.1540 2.5684 0.0000
Zn 2.1540 3.8187 2.3570
Zn 2.1540 3.8187 6.7580